Entry from the Alexandria database: an optimized crystal structure of Tb8PmNd2 (PBE).

a b c (Å): 10.152 10.152 5.612
angles (deg): 92.72 92.72 40.71
Atoms (fractional coordinates):
1 Tb 0.045 0.045 0.237
2 Tb 0.103 0.637 0.267
3 Tb 0.314 0.314 0.767
4 Tb 0.363 0.897 0.733
5 Tb 0.637 0.103 0.267
6 Tb 0.686 0.686 0.233
7 Tb 0.897 0.363 0.733
8 Tb 0.955 0.955 0.763
9 Pm 0.500 0.500 0.000
10 Nd 0.216 0.216 0.253
11 Nd 0.784 0.784 0.747

Space group = No. 12
Formation energy = 0.160 eV/atom



Entry from the Alexandria database: an optimized crystal structure of La4Nd2YEr2 (PBE).

a b c (Å): 9.679 9.679 8.991
angles (deg): 90.06 90.06 21.77
Atoms (fractional coordinates):
1 La 0.056 0.056 0.171
2 La 0.278 0.278 0.826
3 La 0.722 0.722 0.174
4 La 0.944 0.944 0.829
5 Nd 0.388 0.388 0.173
6 Nd 0.612 0.612 0.827
7 Y 0.500 0.500 0.500
8 Er 0.167 0.167 0.501
9 Er 0.833 0.833 0.499

Space group = No. 12
Formation energy = 0.026 eV/atom



Entry from the Alexandria database: an optimized crystal structure of NbBS (PBE).

a b c (Å): 18.919 3.133 3.227
angles (deg): 90.00 90.00 90.00
Atoms (fractional coordinates):
1 Nb 0.094 0.250 0.218
2 Nb 0.406 0.750 0.718
3 Nb 0.594 0.250 0.282
4 Nb 0.906 0.750 0.782
5 B 0.004 0.750 0.387
6 B 0.496 0.250 0.887
7 B 0.504 0.750 0.113
8 B 0.996 0.250 0.613
9 S 0.157 0.750 0.701
10 S 0.343 0.250 0.201
11 S 0.657 0.750 0.799
12 S 0.843 0.250 0.299

Space group = No. 62
ΔE_f (raw) = -0.61 eV per atom



Per-record DOS(E_F), states/eV/atom: 1.603, 1.884, 0.363